Record 1
This record from OQMD describes a geometry-optimized TbSbTe3Pb structure. The functional is PBE.

E_tot in eV/cell: -99.14

Geometry as CIF:
```
data_TbSbTe3Pb
_chemical_formula_sum 'Tb4 Sb4 Te12 Pb4'
_space_group_name_H-M_alt 'C m c m'
_space_group_IT_number 63
_space_group_name_Hall '-C 2c 2'
_cell_length_a 4.172
_cell_length_b 16.144
_cell_length_c 10.891
_cell_angle_alpha 90.00
_cell_angle_beta 90.00
_cell_angle_gamma 90.00
loop_
_atom_site_label
_atom_site_type_symbol
_atom_site_fract_x
_atom_site_fract_y
_atom_site_fract_z
Tb1 Tb 0.000 0.000 0.000
Sb1 Sb 0.000 0.483 0.250
Te1 Te 0.000 0.121 0.250
Te2 Te 0.000 0.351 0.029
Pb1 Pb 0.000 0.210 0.750
```



Record 2
This record from OQMD describes a geometry-optimized InCoCuIr structure. The functional is PBE.

E above lowest polymorph in eV per formula unit: 0.00

Geometry as CIF:
```
data_InCoCuIr
_chemical_formula_sum 'In4 Co4 Cu4 Ir4'
_space_group_name_H-M_alt 'F -4 3 m'
_space_group_IT_number 216
_space_group_name_Hall 'F -4 2 3'
_cell_length_a 6.126
_cell_length_b 6.126
_cell_length_c 6.126
_cell_angle_alpha 90.00
_cell_angle_beta 90.00
_cell_angle_gamma 90.00
loop_
_atom_site_label
_atom_site_type_symbol
_atom_site_fract_x
_atom_site_fract_y
_atom_site_fract_z
In1 In 0.000 0.000 0.000
Co1 Co 0.250 0.250 0.250
Cu1 Cu 0.250 0.250 0.750
Ir1 Ir 0.000 0.000 0.500
```



Record 3
This record from OQMD describes a geometry-optimized LaNdSi4Os2 structure. The functional is PBE.

E_tot in eV/cell: -59.75

Geometry as CIF:
```
data_LaNdSi4Os2
_chemical_formula_sum 'La1 Nd1 Si4 Os2'
_space_group_name_H-M_alt 'P 1 m 1'
_space_group_IT_number 6
_cell_length_a 4.513
_cell_length_b 4.171
_cell_length_c 8.296
_cell_angle_alpha 90.00
_cell_angle_beta 102.29
_cell_angle_gamma 90.00
loop_
_space_group_symop_operation_xyz
'x,y,z'
'x,-y,z'
loop_
_atom_site_label
_atom_site_type_symbol
_atom_site_fract_x
_atom_site_fract_y
_atom_site_fract_z
La1 La 0.000 0.000 0.000
Nd1 Nd 0.818 0.500 0.596
Si1 Si 0.077 0.500 0.296
Si2 Si 0.370 0.000 0.706
Si3 Si 0.448 0.500 0.891
Si4 Si 0.741 0.000 0.305
Os1 Os 0.290 0.000 0.413
Os2 Os 0.528 0.500 0.187
```



Quick rundown of spin magnetization, same order as above: 0.0; 2.0; 0.0 μB/f.u.